[1]
Density functional theory data (PBE-GGA) for a geometry-optimized NdDy5Er12 structure. Values from VASP.

Structure (Quantum ESPRESSO input):
```
&SYSTEM
  ibrav = 0, nat = 18, ntyp = 3
/
ATOMIC_SPECIES
Nd 144.24 Nd.upf
Dy 162.50 Dy.upf
Er 167.26 Er.upf
CELL_PARAMETERS angstrom
10.562 0.001 0.004
5.279 9.084 1.139
-0.002 1.292 5.969
ATOMIC_POSITIONS crystal
Nd 0.000 0.000 0.000
Dy 0.500 0.000 0.500
Dy 0.167 0.665 0.501
Dy 0.833 0.335 0.499
Dy 0.667 0.667 0.000
Dy 0.333 0.333 0.000
Er 0.832 0.000 0.500
Er 0.168 0.000 0.500
Er 0.666 0.000 0.000
Er 0.334 0.000 0.000
Er 0.335 0.665 0.000
Er 0.000 0.665 0.000
Er 0.000 0.335 0.000
Er 0.665 0.335 0.000
Er 0.500 0.333 0.501
Er 0.833 0.667 0.499
Er 0.167 0.333 0.501
Er 0.500 0.667 0.499
```

calculated volume: 30.95 Å³ per atom
SG: C2/m (12)
formation energy from the elements: 0.022 eV/atom
DOS(E_F): 23.7 states/eV/cell

[2]
Density functional theory data (PBE-GGA) for a geometry-optimized NdDy3Er2 structure. Values from VASP.

Structure (Quantum ESPRESSO input):
```
&SYSTEM
  ibrav = 0, nat = 12, ntyp = 3
/
ATOMIC_SPECIES
Nd 144.24 Nd.upf
Dy 162.50 Dy.upf
Er 167.26 Er.upf
CELL_PARAMETERS angstrom
7.101 0.000 0.000
0.000 6.124 0.545
-3.551 -0.758 8.671
ATOMIC_POSITIONS crystal
Nd 0.874 0.750 0.000
Nd 0.126 0.250 0.000
Dy 0.624 0.250 0.000
Dy 0.376 0.750 0.000
Dy 0.043 0.085 0.337
Dy 0.706 0.415 0.663
Dy 0.294 0.585 0.337
Dy 0.957 0.915 0.663
Er 0.792 0.583 0.335
Er 0.543 0.083 0.335
Er 0.457 0.917 0.665
Er 0.208 0.417 0.665
```

calculated volume: 31.67 Å³ per atom
SG: C2/c (15)
formation energy from the elements: 0.020 eV/atom
energy relative to the lowest polymorph listed for this composition: 0.0231 eV/atom
DOS(E_F): 16.5 states/eV/cell

[3]
Density functional theory data (PBE-GGA) for a geometry-optimized Nd2DyEr structure. Values from VASP.

Structure (Quantum ESPRESSO input):
```
&SYSTEM
  ibrav = 0, nat = 4, ntyp = 3
/
ATOMIC_SPECIES
Dy 162.50 Dy.upf
Nd 144.24 Nd.upf
Er 167.26 Er.upf
CELL_PARAMETERS angstrom
3.611 0.000 0.000
0.000 3.611 0.000
0.000 0.000 10.137
ATOMIC_POSITIONS crystal
Dy 0.500 0.500 0.500
Nd 0.000 0.000 0.751
Nd 0.000 0.000 0.249
Er 0.500 0.500 0.000
```

calculated volume: 33.04 Å³ per atom
SG: P4/mmm (123)
formation energy from the elements: 0.020 eV/atom
energy relative to the lowest polymorph listed for this composition: 0.0073 eV/atom
DOS(E_F): 5.7 states/eV/cell

[4]
Density functional theory data (PBE-GGA) for a geometry-optimized NdDyEr2 structure. Values from VASP.

Structure (Quantum ESPRESSO input):
```
&SYSTEM
  ibrav = 0, nat = 16, ntyp = 3
/
ATOMIC_SPECIES
Nd 144.24 Nd.upf
Dy 162.50 Dy.upf
Er 167.26 Er.upf
CELL_PARAMETERS angstrom
7.257 0.000 0.000
0.000 6.120 -1.418
0.000 -3.570 12.464
ATOMIC_POSITIONS crystal
Nd 0.250 0.456 0.623
Nd 0.750 0.544 0.377
Nd 0.250 0.044 0.877
Nd 0.750 0.956 0.123
Dy 0.499 0.040 0.375
Dy 0.501 0.960 0.625
Dy 0.499 0.460 0.125
Dy 0.501 0.540 0.875
Er 0.751 0.041 0.873
Er 0.249 0.959 0.127
Er 0.751 0.459 0.627
Er 0.249 0.541 0.373
Er 0.000 0.460 0.125
Er 0.000 0.540 0.875
Er 0.000 0.040 0.375
Er 0.000 0.960 0.625
```

calculated volume: 32.30 Å³ per atom
SG: P2/c (13)
formation energy from the elements: 0.012 eV/atom
energy relative to the lowest polymorph listed for this composition: 0.0115 eV/atom
DOS(E_F): 27.9 states/eV/cell

- Which of these has the highest formation energy from the elements?
  NdDy5Er12

- Number 3 is which compound?
  Nd2DyEr